A relaxed structure of MnRuNO. Source: the Alexandria database, functional PBE+U.

For the density of states at the Fermi level, the calculation gives 4.794 states/eV/cell. As for the final energy: -7.716 eV/atom. The calculation puts the offset from the most stable computed form at 207.6 meV per atom.

Structure (POSCAR):
```
MnRuNO
1.0
-2.1375 1.6995 0.6843
-1.0048 -0.1109 -2.8630
-6.3264 -8.9914 2.5684
N Ru Mn O
2 2 2 2
Direct
0.5000 0.5000 0.3089
0.0000 0.0000 0.8089
0.5000 0.0000 0.9426
0.0000 0.5000 0.4426
0.0000 0.0000 0.2433
0.5000 0.5000 0.7433
0.0000 0.0000 0.0698
0.5000 0.5000 0.5698
```